DFT (PBE) results for a relaxed structure of K3Pu2MgO9.

Cell: 5.906 5.906 7.258 Å, 90.00 90.00 120.00°
Each line ends with the local moment (μB).
Element x y z (fractional)
K 0.000 0.000 0.000  0.00
K 0.667 0.333 0.342  0.00
K 0.333 0.667 0.658  0.00
O 0.828 0.655 0.673  -0.10
O 0.345 0.172 0.673  -0.10
O 0.828 0.172 0.673  -0.10
O 0.000 0.500 0.000  -0.10
O 0.500 0.000 0.000  -0.10
O 0.172 0.345 0.327  -0.10
O 0.172 0.828 0.327  -0.10
O 0.500 0.500 0.000  -0.10
O 0.655 0.828 0.327  -0.10
Pu 0.333 0.667 0.174  1.99
Pu 0.667 0.333 0.826  1.99
Mg 0.000 0.000 0.500  0.00

Computed properties:
Raw formation energy: -224.5 kJ/mol of atoms
Space-group type: P-3m1, No. 164
VASP energy: -7.539 eV per atom
Crystal system: trigonal